*P*
# AlGa2Ir2

A geometry-optimized AlGa2Ir2 structure (PBE, Alexandria).

Cell and atoms, written as CIF:
```
data_AlGa2Ir2
_chemical_formula_sum 'Al2 Ga4 Ir4'
_cell_length_a 7.323
_cell_length_b 7.323
_cell_length_c 2.835
_cell_angle_alpha 90.00
_cell_angle_beta 90.00
_cell_angle_gamma 90.00
_symmetry_space_group_name_H-M 'P 4/m b m'
_symmetry_Int_Tables_number 127
_symmetry_space_group_name_Hall '-P 4 2ab'
loop_
_atom_site_label
_atom_site_type_symbol
_atom_site_fract_x
_atom_site_fract_y
_atom_site_fract_z
Al1 Al 0.000 0.000 0.000
Ga1 Ga 0.128 0.372 0.000
Ir1 Ir 0.171 0.671 0.500
```

Output
Total magnetic moment: 0.00 μB/cell
Crystal system: tetragonal


*Q*
# AlGa2Ir2

A geometry-optimized AlGa2Ir2 structure (PBE, Alexandria).

Cell and atoms, written as CIF:
```
data_AlGa2Ir2
_chemical_formula_sum 'Al2 Ga4 Ir4'
_cell_length_a 7.172
_cell_length_b 7.172
_cell_length_c 3.009
_cell_angle_alpha 90.00
_cell_angle_beta 90.00
_cell_angle_gamma 90.00
_symmetry_space_group_name_H-M 'P 4/m b m'
_symmetry_Int_Tables_number 127
_symmetry_space_group_name_Hall '-P 4 2ab'
loop_
_atom_site_label
_atom_site_type_symbol
_atom_site_fract_x
_atom_site_fract_y
_atom_site_fract_z
Al1 Al 0.000 0.000 0.000
Ga1 Ga 0.143 0.357 0.500
Ir1 Ir 0.156 0.656 0.000
```

Output
Total magnetic moment: 0.00 μB/cell
Crystal system: tetragonal


Ordering by calculated energy gives the sequence *Q*, *P*, with the first entry being the most stable.


*P*
# MgAlGaIr

A geometry-optimized MgAlGaIr structure (PBE, Alexandria).

Cell and atoms, written as CIF:
```
data_MgAlGaIr
_chemical_formula_sum 'Mg4 Al4 Ga4 Ir4'
_cell_length_a 6.235
_cell_length_b 6.235
_cell_length_c 6.235
_cell_angle_alpha 90.00
_cell_angle_beta 90.00
_cell_angle_gamma 90.00
_symmetry_space_group_name_H-M 'F -4 3 m'
_symmetry_Int_Tables_number 216
_symmetry_space_group_name_Hall 'F -4 2 3'
loop_
_atom_site_label
_atom_site_type_symbol
_atom_site_fract_x
_atom_site_fract_y
_atom_site_fract_z
Mg1 Mg 0.000 0.000 0.000
Al1 Al 0.250 0.250 0.750
Ga1 Ga 0.250 0.250 0.250
Ir1 Ir 0.000 0.000 0.500
```

Output
Total magnetic moment: 0.00 μB/cell
Crystal system: cubic


*Q*
# MgAlGaIr

A geometry-optimized MgAlGaIr structure (PBE, Alexandria).

Cell and atoms, written as CIF:
```
data_MgAlGaIr
_chemical_formula_sum 'Mg3 Al3 Ga3 Ir3'
_cell_length_a 4.2350
_cell_length_b 4.2350
_cell_length_c 14.0580
_cell_angle_alpha 90.00
_cell_angle_beta 90.00
_cell_angle_gamma 120.00
_symmetry_space_group_name_H-M 'R 3 m'
_symmetry_Int_Tables_number 160
_symmetry_space_group_name_Hall 'R 3 -2"'
loop_
_atom_site_label
_atom_site_type_symbol
_atom_site_fract_x
_atom_site_fract_y
_atom_site_fract_z
Mg1 Mg 0.0000 0.0000 0.0000
Al1 Al 0.0000 0.0000 0.2052
Ga1 Ga 0.0000 0.0000 0.4386
Ir1 Ir 0.0000 0.0000 0.8108
```

Output
Total magnetic moment: 0.00 μB/cell
Crystal system: trigonal


Ordering by calculated energy gives the sequence *Q*, *P*, with the first entry being the most stable.


*P*
# AlGaNiIr

A geometry-optimized AlGaNiIr structure (PBE, Alexandria).

Cell and atoms, written as CIF:
```
data_AlGaNiIr
_chemical_formula_sum 'Al1 Ga1 Ni1 Ir1'
_cell_length_a 2.960
_cell_length_b 2.960
_cell_length_c 6.010
_cell_angle_alpha 90.00
_cell_angle_beta 90.00
_cell_angle_gamma 90.00
_symmetry_space_group_name_H-M 'P 4 m m'
_symmetry_Int_Tables_number 99
loop_
_symmetry_equiv_pos_as_xyz
'x,y,z'
'-y,x,z'
'-x,-y,z'
'y,-x,z'
'-x,y,z'
'y,x,z'
'x,-y,z'
'-y,-x,z'
loop_
_atom_site_label
_atom_site_type_symbol
_atom_site_fract_x
_atom_site_fract_y
_atom_site_fract_z
Al1 Al 0.000 0.000 0.000
Ga1 Ga 0.000 0.000 0.471
Ni1 Ni 0.500 0.500 0.238
Ir1 Ir 0.500 0.500 0.744
```

Output
Total magnetic moment: 0.00 μB/cell
Crystal system: tetragonal


*Q*
# AlGaNiIr

A geometry-optimized AlGaNiIr structure (PBE, Alexandria).

Cell and atoms, written as CIF:
```
data_AlGaNiIr
_chemical_formula_sum 'Al4 Ga4 Ni4 Ir4'
_cell_length_a 5.976
_cell_length_b 5.976
_cell_length_c 5.976
_cell_angle_alpha 90.00
_cell_angle_beta 90.00
_cell_angle_gamma 90.00
_symmetry_space_group_name_H-M 'F -4 3 m'
_symmetry_Int_Tables_number 216
_symmetry_space_group_name_Hall 'F -4 2 3'
loop_
_atom_site_label
_atom_site_type_symbol
_atom_site_fract_x
_atom_site_fract_y
_atom_site_fract_z
Al1 Al 0.000 0.000 0.000
Ga1 Ga 0.000 0.000 0.500
Ni1 Ni 0.250 0.250 0.750
Ir1 Ir 0.250 0.250 0.250
```

Output
Total magnetic moment: 0.00 μB/cell
Crystal system: cubic


Ordering by calculated energy gives the sequence *P*, *Q*, with the first entry being the most stable.


*P*
# KAlGa3

A geometry-optimized KAlGa3 structure (PBE, Alexandria).

Cell and atoms, written as CIF:
```
data_KAlGa3
_chemical_formula_sum 'K1 Al1 Ga3'
_cell_length_a 5.136
_cell_length_b 5.136
_cell_length_c 5.136
_cell_angle_alpha 90.00
_cell_angle_beta 90.00
_cell_angle_gamma 90.00
_symmetry_space_group_name_H-M 'P m -3 m'
_symmetry_Int_Tables_number 221
_symmetry_space_group_name_Hall '-P 4 2 3'
loop_
_atom_site_label
_atom_site_type_symbol
_atom_site_fract_x
_atom_site_fract_y
_atom_site_fract_z
K1 K 0.000 0.000 0.000
Al1 Al 0.500 0.500 0.500
Ga1 Ga 0.000 0.500 0.500
```

Output
Total magnetic moment: 0.00 μB/cell
Crystal system: cubic


*Q*
# KAlGa3

A geometry-optimized KAlGa3 structure (PBE, Alexandria).

Cell and atoms, written as CIF:
```
data_KAlGa3
_chemical_formula_sum 'K1 Al1 Ga3'
_cell_length_a 5.701
_cell_length_b 5.701
_cell_length_c 5.701
_cell_angle_alpha 90.00
_cell_angle_beta 90.00
_cell_angle_gamma 90.00
_symmetry_space_group_name_H-M 'P m -3 m'
_symmetry_Int_Tables_number 221
_symmetry_space_group_name_Hall '-P 4 2 3'
loop_
_atom_site_label
_atom_site_type_symbol
_atom_site_fract_x
_atom_site_fract_y
_atom_site_fract_z
K1 K 0.000 0.000 0.000
Al1 Al 0.500 0.500 0.500
Ga1 Ga 0.000 0.000 0.500
```

Output
Total magnetic moment: 0.00 μB/cell
Crystal system: cubic


Ordering by calculated energy gives the sequence *P*, *Q*, with the first entry being the most stable.